VASP calculation (PBE-GGA) on a geometry-optimized La3Pm2Tm8 structure.

The structure in POSCAR format:
```
La3Pm2Tm8
1.0
7.702 0.000 0.000
0.000 5.605 0.000
-3.843 0.000 10.191
La Pm Tm
3 2 8
direct
0.000 0.000 0.000 La
0.300 0.500 0.000 La
0.700 0.500 0.000 La
0.241 0.000 0.481 Pm
0.759 0.000 0.519 Pm
0.134 0.500 0.268 Tm
0.182 0.000 0.780 Tm
0.333 0.500 0.665 Tm
0.401 0.000 0.220 Tm
0.599 0.000 0.780 Tm
0.667 0.500 0.335 Tm
0.818 0.000 0.220 Tm
0.866 0.500 0.732 Tm
```

calculated volume	33.85	A^3/atom
calculated formation energy	0.264	eV per atom
M_tot	0.00	μB/f.u.
crystal system	monoclinic
ρ	7.77	g cm⁻³

VASP calculation (PBE-GGA) on a geometry-optimized LaPm3Tm12 structure.

The structure in POSCAR format:
```
LaPm3Tm12
1.0
5.000 0.000 0.000
0.000 5.000 0.000
0.000 0.000 20.020
La Pm Tm
1 3 12
direct
0.000 0.000 0.000 La
0.000 0.000 0.250 Pm
0.000 0.000 0.500 Pm
0.000 0.000 0.750 Pm
0.000 0.500 0.127 Tm
0.000 0.500 0.375 Tm
0.000 0.500 0.625 Tm
0.000 0.500 0.873 Tm
0.500 0.000 0.127 Tm
0.500 0.000 0.375 Tm
0.500 0.000 0.625 Tm
0.500 0.000 0.873 Tm
0.500 0.500 0.000 Tm
0.500 0.500 0.251 Tm
0.500 0.500 0.500 Tm
0.500 0.500 0.749 Tm
```

calculated volume	31.28	A^3/atom
calculated formation energy	0.030	eV per atom
M_tot	0.00	μB/f.u.
crystal system	tetragonal
ρ	8.63	g cm⁻³

VASP calculation (PBE-GGA) on a geometry-optimized La5Pm2Tm4 structure.

The structure in POSCAR format:
```
La5Pm2Tm4
1.0
8.943 -1.783 0.000
8.943 1.783 0.000
-0.783 0.000 11.739
La Pm Tm
5 2 4
direct
0.000 0.000 0.000 La
0.324 0.324 0.929 La
0.404 0.404 0.468 La
0.596 0.596 0.532 La
0.676 0.676 0.071 La
0.217 0.217 0.348 Pm
0.783 0.783 0.652 Pm
0.139 0.139 0.798 Tm
0.468 0.468 0.740 Tm
0.532 0.532 0.260 Tm
0.861 0.861 0.202 Tm
```

calculated volume	34.03	A^3/atom
calculated formation energy	0.077	eV per atom
distance to the lowest polymorph of the same formula	0.000	eV/f.u.
M_tot	0.00	μB/f.u.
crystal system	monoclinic
ρ	7.37	g cm⁻³

VASP calculation (PBE-GGA) on a geometry-optimized La2Pm3Tm structure.

The structure in POSCAR format:
```
La2Pm3Tm
1.0
7.132 0.000 0.000
0.000 10.005 0.000
0.000 0.000 5.776
La Pm Tm
4 6 2
direct
0.248 0.168 0.000 La
0.252 0.668 0.500 La
0.748 0.332 0.500 La
0.752 0.832 0.000 La
0.000 0.500 0.000 Pm
0.250 0.332 0.500 Pm
0.250 0.832 0.000 Pm
0.500 0.000 0.500 Pm
0.750 0.168 0.000 Pm
0.750 0.668 0.500 Pm
0.000 0.000 0.500 Tm
0.500 0.500 0.000 Tm
```

calculated volume	34.34	A^3/atom
calculated formation energy	0.063	eV per atom
distance to the lowest polymorph of the same formula	0.000	eV/f.u.
M_tot	0.00	μB/f.u.
crystal system	orthorhombic
ρ	7.11	g cm⁻³

VASP calculation (PBE-GGA) on a geometry-optimized La5Pm4Tm structure.

The structure in POSCAR format:
```
La5Pm4Tm
1.0
3.718 0.000 0.000
0.000 3.718 0.000
0.000 0.000 25.578
La Pm Tm
5 4 1
direct
0.000 0.000 0.000 La
0.000 0.000 0.202 La
0.000 0.000 0.404 La
0.000 0.000 0.596 La
0.000 0.000 0.798 La
0.500 0.500 0.101 Pm
0.500 0.500 0.303 Pm
0.500 0.500 0.697 Pm
0.500 0.500 0.899 Pm
0.500 0.500 0.500 Tm
```

calculated volume	35.35	A^3/atom
calculated formation energy	0.020	eV per atom
distance to the lowest polymorph of the same formula	0.000	eV/f.u.
M_tot	0.00	μB/f.u.
crystal system	tetragonal
ρ	6.78	g cm⁻³

VASP calculation (PBE-GGA) on a geometry-optimized LaPm5Tm6 structure.

The structure in POSCAR format:
```
LaPm5Tm6
1.0
-2.554 4.972 7.647
2.554 -4.972 7.647
2.554 4.972 -7.647
La Pm Tm
1 5 6
direct
0.000 0.000 0.000 La
0.168 0.668 0.500 Pm
0.333 0.333 0.000 Pm
0.500 0.000 0.500 Pm
0.667 0.667 0.000 Pm
0.832 0.332 0.500 Pm
0.084 0.833 0.251 Tm
0.252 0.500 0.752 Tm
0.418 0.167 0.251 Tm
0.582 0.833 0.749 Tm
0.748 0.500 0.248 Tm
0.916 0.167 0.749 Tm
```

calculated volume	32.37	A^3/atom
calculated formation energy	0.022	eV per atom
M_tot	0.00	μB/f.u.
crystal system	orthorhombic
ρ	8.03	g cm⁻³

VASP calculation (PBE-GGA) on a geometry-optimized LaPmTm5 structure.

The structure in POSCAR format:
```
LaPmTm5
1.0
-3.525 5.755 5.692
3.525 -5.755 5.692
3.525 5.755 -5.692
La Pm Tm
2 2 10
direct
0.500 0.000 0.000 La
0.500 0.500 0.500 La
0.204 0.454 0.750 Pm
0.796 0.546 0.250 Pm
0.000 0.249 0.249 Tm
0.000 0.751 0.751 Tm
0.206 0.956 0.250 Tm
0.216 0.250 0.966 Tm
0.216 0.750 0.466 Tm
0.500 0.249 0.749 Tm
0.500 0.751 0.251 Tm
0.784 0.250 0.534 Tm
0.784 0.750 0.034 Tm
0.794 0.044 0.750 Tm
```

calculated volume	33.00	A^3/atom
calculated formation energy	0.174	eV per atom
M_tot	0.00	μB/f.u.
crystal system	orthorhombic
ρ	8.11	g cm⁻³

VASP calculation (PBE-GGA) on a geometry-optimized LaPm6Tm3 structure.

The structure in POSCAR format:
```
LaPm6Tm3
1.0
5.500 -9.612 0.000
5.500 9.612 0.000
0.000 0.000 6.307
La Pm Tm
2 12 6
direct
0.190 0.810 0.500 La
0.810 0.190 0.000 La
0.037 0.963 0.720 Pm
0.055 0.475 0.227 Pm
0.282 0.718 0.950 Pm
0.292 0.374 0.048 Pm
0.374 0.292 0.548 Pm
0.475 0.055 0.727 Pm
0.525 0.945 0.227 Pm
0.626 0.708 0.048 Pm
0.708 0.626 0.548 Pm
0.718 0.282 0.450 Pm
0.945 0.525 0.727 Pm
0.963 0.037 0.220 Pm
0.059 0.289 0.631 Tm
0.289 0.059 0.131 Tm
0.384 0.616 0.505 Tm
0.616 0.384 0.005 Tm
0.711 0.941 0.631 Tm
0.941 0.711 0.131 Tm
```

calculated volume	33.34	A^3/atom
calculated formation energy	0.147	eV per atom
distance to the lowest polymorph of the same formula	0.000	eV/f.u.
M_tot	0.00	μB/f.u.
crystal system	orthorhombic
ρ	7.55	g cm⁻³

VASP calculation (PBE-GGA) on a geometry-optimized LaPm4Tm2 structure.

The structure in POSCAR format:
```
LaPm4Tm2
1.0
7.156 0.000 0.000
-1.794 8.547 0.000
-1.780 -4.188 7.747
La Pm Tm
2 8 4
direct
0.000 0.000 0.000 La
0.085 0.765 0.579 La
0.197 0.324 0.457 Pm
0.300 0.879 0.292 Pm
0.396 0.442 0.128 Pm
0.500 0.994 0.993 Pm
0.615 0.593 0.858 Pm
0.695 0.321 0.451 Pm
0.893 0.442 0.124 Pm
0.970 0.168 0.718 Pm
0.116 0.592 0.859 Tm
0.476 0.171 0.720 Tm
0.589 0.765 0.579 Tm
0.792 0.880 0.290 Tm
```

calculated volume	33.85	A^3/atom
calculated formation energy	0.043	eV per atom
distance to the lowest polymorph of the same formula	0.000	eV/f.u.
M_tot	0.00	μB/f.u.
crystal system	triclinic
ρ	7.41	g cm⁻³

VASP calculation (PBE-GGA) on a geometry-optimized La2PmTm3 structure.

The structure in POSCAR format:
```
La2PmTm3
1.0
8.324 -3.529 0.000
8.324 3.529 0.000
-1.516 0.000 6.940
La Pm Tm
4 2 6
direct
0.171 0.184 0.089 La
0.184 0.171 0.589 La
0.816 0.829 0.411 La
0.829 0.816 0.911 La
0.231 0.769 0.250 Pm
0.769 0.231 0.750 Pm
0.230 0.770 0.750 Tm
0.363 0.372 0.435 Tm
0.372 0.363 0.935 Tm
0.628 0.637 0.065 Tm
0.637 0.628 0.565 Tm
0.770 0.230 0.250 Tm
```

calculated volume	33.98	A^3/atom
calculated formation energy	0.142	eV per atom
distance to the lowest polymorph of the same formula	0.112	eV/f.u.
M_tot	0.00	μB/f.u.
crystal system	monoclinic
ρ	7.57	g cm⁻³

VASP calculation (PBE-GGA) on a geometry-optimized La6PmTm3 structure.

The structure in POSCAR format:
```
La6PmTm3
1.0
5.007 2.891 4.097
-5.007 2.891 4.097
0.000 -5.782 4.097
La Pm Tm
6 1 3
direct
0.000 0.327 0.673 La
0.172 0.828 0.500 La
0.327 0.673 0.000 La
0.500 0.172 0.828 La
0.673 0.000 0.327 La
0.828 0.500 0.172 La
0.000 0.000 0.000 Pm
0.253 0.253 0.253 Tm
0.500 0.500 0.500 Tm
0.747 0.747 0.747 Tm
```

calculated volume	35.58	A^3/atom
calculated formation energy	0.187	eV per atom
M_tot	0.00	μB/f.u.
crystal system	trigonal
ρ	6.93	g cm⁻³

VASP calculation (PBE-GGA) on a geometry-optimized LaPmTm2 structure.

The structure in POSCAR format:
```
LaPmTm2
1.0
3.646 0.000 0.000
0.000 3.646 0.000
0.000 0.000 9.869
La Pm Tm
1 1 2
direct
0.000 0.000 0.000 La
0.000 0.000 0.500 Pm
0.500 0.500 0.253 Tm
0.500 0.500 0.747 Tm
```

calculated volume	32.80	A^3/atom
calculated formation energy	0.029	eV per atom
distance to the lowest polymorph of the same formula	0.045	eV/f.u.
M_tot	0.00	μB/f.u.
crystal system	tetragonal
ρ	7.87	g cm⁻³

Please write out number 4 again, unchanged.
VASP calculation (PBE-GGA) on a geometry-optimized La2Pm3Tm structure.

The structure in POSCAR format:
```
La2Pm3Tm
1.0
7.132 0.000 0.000
0.000 10.005 0.000
0.000 0.000 5.776
La Pm Tm
4 6 2
direct
0.248 0.168 0.000 La
0.252 0.668 0.500 La
0.748 0.332 0.500 La
0.752 0.832 0.000 La
0.000 0.500 0.000 Pm
0.250 0.332 0.500 Pm
0.250 0.832 0.000 Pm
0.500 0.000 0.500 Pm
0.750 0.168 0.000 Pm
0.750 0.668 0.500 Pm
0.000 0.000 0.500 Tm
0.500 0.500 0.000 Tm
```

calculated volume	34.34	A^3/atom
calculated formation energy	0.063	eV per atom
distance to the lowest polymorph of the same formula	0.000	eV/f.u.
M_tot	0.00	μB/f.u.
crystal system	orthorhombic
ρ	7.11	g cm⁻³

Q: What is the calculated volume in the third record?
A: 34.03 A^3/atom